Density functional theory data (PBE) for Ce2Al3CdGa4 after structural relaxation.

Values from the calculation:
Formation energy from the elements = -0.35 eV/atom
Calculated volume = 206.0 Å³ per cell

```
data_Ce2Al3CdGa4
_chemical_formula_sum 'Ce2 Al3 Cd1 Ga4'
_space_group_name_H-M_alt 'P -4 m 2'
_space_group_IT_number 115
_space_group_name_Hall 'P -4 -2'
_cell_length_a 4.3378
_cell_length_b 4.3378
_cell_length_c 10.9486
_cell_angle_alpha 90.00
_cell_angle_beta 90.00
_cell_angle_gamma 90.00
loop_
_atom_site_label
_atom_site_type_symbol
_atom_site_fract_x
_atom_site_fract_y
_atom_site_fract_z
_atom_site_occupancy
Ce1 Ce 0.0000 0.5000 0.2397 1
Al1 Al 0.0000 0.5000 0.8701 1
Al2 Al 0.5000 0.5000 0.5000 1
Cd1 Cd 0.0000 0.0000 0.5000 1
Ga1 Ga 0.0000 0.0000 0.0000 1
Ga2 Ga 0.0000 0.5000 0.6455 1
Ga3 Ga 0.5000 0.5000 0.0000 1
```